# PBE Ta2PHPd, relaxed
# * total DFT energy (no corrections): -6.54 eV per atom
# * spin magnetization: 0.0 μB/cell
data_Ta2PHPd
_chemical_formula_sum 'Ta2 P1 H1 Pd1'
_symmetry_space_group_name_H-M 'P 4/m m m'
_symmetry_Int_Tables_number 123
_symmetry_space_group_name_Hall '-P 4 2'
_cell_length_a 4.625
_cell_length_b 4.625
_cell_length_c 4.377
_cell_angle_alpha 90.00
_cell_angle_beta 90.00
_cell_angle_gamma 90.00
loop_
_atom_site_label
_atom_site_fract_x
_atom_site_fract_y
_atom_site_fract_z
Ta1 0.000 0.500 0.000
P1 0.000 0.000 0.000
H1 0.500 0.500 0.500
Pd1 0.000 0.000 0.500